DFT (PBE) results for crystalline Pm3NdTh2P6 at its relaxed geometry.

The calculated total energy comes out at -7.11 eV/atom. The crystal system is monoclinic.

Cell lengths 9.259, 9.259, 8.275 Å; angles 102.87, 102.87, 25.88 degrees
Fractional coordinates of all 12 atoms:
Pm 0.000 0.000 0.000
Pm 0.334 0.334 0.666
Pm 0.666 0.666 0.334
Nd 0.000 0.000 0.500
Th 0.334 0.334 0.169
Th 0.666 0.666 0.831
P 0.167 0.167 0.082
P 0.167 0.167 0.585
P 0.499 0.499 0.248
P 0.501 0.501 0.752
P 0.833 0.833 0.415
P 0.833 0.833 0.918